DFT (PBE-GGA) results for crystalline LaNpIN2 at its relaxed geometry.

Summary:
The value obtained for the spin magnetization is 3.0 μB per formula unit. The calculation puts the formation energy from raw total energies at -1.360 eV/atom. As for the space-group type: No. 11.

a b c (Å): 4.168 7.511 8.064
angles (deg): 105.84 90.00 90.00
Sites, in units of the cell vectors:
La 0.750 0.338 0.080
La 0.250 0.662 0.920
Np 0.750 0.366 0.593
Np 0.250 0.634 0.407
N 0.750 0.503 0.860
N 0.750 0.520 0.395
N 0.250 0.497 0.140
N 0.250 0.480 0.605
I 0.250 0.043 0.745
I 0.750 0.957 0.255